1.
A plane-wave DFT calculation with PBE-GGA was carried out for a relaxed Al3CdP crystal.

Geometry as POSCAR:
```
Al3CdP
1.0
4.7632 0.0000 0.0000
0.0000 4.7632 0.0000
0.0000 0.0000 4.7632
Al Cd P
3 1 1
Cartesian
0.0000 0.0000 2.3816
0.0000 2.3816 0.0000
2.3816 0.0000 0.0000
2.3816 2.3816 2.3816
0.0000 0.0000 0.0000
```

**DFT formation energy**: 0.3690 eV/atom

---

2.
A plane-wave DFT calculation with PBE-GGA was carried out for a relaxed AlCdP2 crystal.

Geometry as POSCAR:
```
AlCdP2
1.0
-2.8901 2.8901 5.5656
2.8901 -2.8901 5.5656
2.8901 2.8901 -5.5656
Al Cd P
2 2 4
Cartesian
0.0000 0.0000 0.0000
0.0000 2.8901 2.7828
2.8901 0.0000 2.7828
0.0000 0.0000 5.5656
4.3352 1.2760 -1.3914
1.2760 1.4451 1.3914
-1.4451 1.6141 4.1742
1.6141 1.4451 6.9570
```

**DFT formation energy**: -0.1322 eV/atom

---

Please write out number 1 again, unchanged.
A plane-wave DFT calculation with PBE-GGA was carried out for a relaxed Al3CdP crystal.

Geometry as POSCAR:
```
Al3CdP
1.0
4.7632 0.0000 0.0000
0.0000 4.7632 0.0000
0.0000 0.0000 4.7632
Al Cd P
3 1 1
Cartesian
0.0000 0.0000 2.3816
0.0000 2.3816 0.0000
2.3816 0.0000 0.0000
2.3816 2.3816 2.3816
0.0000 0.0000 0.0000
```

**DFT formation energy**: 0.3690 eV/atom

---

Question: The lowest DFT formation energy belongs to which entry?
Answer: AlCdP2

---

What did the second record say?
A plane-wave DFT calculation with PBE-GGA was carried out for a relaxed AlCdP2 crystal.

Geometry as POSCAR:
```
AlCdP2
1.0
-2.8901 2.8901 5.5656
2.8901 -2.8901 5.5656
2.8901 2.8901 -5.5656
Al Cd P
2 2 4
Cartesian
0.0000 0.0000 0.0000
0.0000 2.8901 2.7828
2.8901 0.0000 2.7828
0.0000 0.0000 5.5656
4.3352 1.2760 -1.3914
1.2760 1.4451 1.3914
-1.4451 1.6141 4.1742
1.6141 1.4451 6.9570
```

**DFT formation energy**: -0.1322 eV/atom